Below is an optimized crystal structure of ScGa4Co, with properties calculated at the PBE level.

a = 3.966 Å, b = 3.966 Å, c = 7.154 Å
α = 90.00°, β = 90.00°, γ = 90.00°
Positions (direct):
Sc 0.000 0.000 0.000
Ga 0.000 0.500 0.301
Ga 0.000 0.500 0.699
Ga 0.500 0.000 0.301
Ga 0.500 0.000 0.699
Co 0.500 0.500 0.500

Values from the calculation:
Symmetry   P4/mmm (123)
Formation energy   -0.143 eV/atom